No. 1
This record from the Alexandria database describes a relaxed structure of SrNbPt2Au. The functional is PBEsol.

Cell: 5.0758 5.0758 4.7779 Å, 90.00 90.00 90.00°
Element x y z (fractional)
1 Sr 0.0000 0.0000 0.0000
2 Nb 0.5000 0.5000 0.0000
3 Pt 0.0000 0.5000 0.5000
4 Pt 0.5000 0.0000 0.5000
5 Au 0.5000 0.5000 0.5000

Computed properties:
E_form ... 16.6 kcal/mol of atoms
Total energy ... -5.384 eV per atom
V ... 123.1 Å³/cell

***

No. 2
This record from the Alexandria database describes a relaxed structure of Zn3B7IO13. The functional is PBEsol.

Cell: 8.5669 8.5669 8.5669 Å, 60.00 60.00 60.00°
Element x y z (fractional)
1 Zn 0.2500 0.2500 0.7500
2 Zn 0.2500 0.7500 0.2500
3 Zn 0.2500 0.7500 0.7500
4 Zn 0.7500 0.2500 0.2500
5 Zn 0.7500 0.2500 0.7500
6 Zn 0.7500 0.7500 0.2500
7 B 0.0000 0.0000 0.5000
8 B 0.0000 0.5000 0.0000
9 B 0.0000 0.5000 0.5000
10 B 0.1700 0.1700 0.1700
11 B 0.1700 0.1700 0.4899
12 B 0.1700 0.4899 0.1700
13 B 0.4899 0.1700 0.1700
14 B 0.5000 0.0000 0.0000
15 B 0.5000 0.0000 0.5000
16 B 0.5000 0.5000 0.0000
17 B 0.6700 0.6700 0.6700
18 B 0.6700 0.6700 0.9899
19 B 0.6700 0.9899 0.6700
20 B 0.9899 0.6700 0.6700
21 I 0.0000 0.0000 0.0000
22 I 0.5000 0.5000 0.5000
23 O 0.0461 0.4918 0.8139
24 O 0.0461 0.6482 0.4918
25 O 0.0461 0.8139 0.6482
26 O 0.1482 0.3139 0.5461
27 O 0.1482 0.5461 0.9918
28 O 0.1482 0.9918 0.3139
29 O 0.2500 0.2500 0.2500
30 O 0.3139 0.1482 0.9918
31 O 0.3139 0.5461 0.1482
32 O 0.3139 0.9918 0.5461
33 O 0.4918 0.0461 0.6482
34 O 0.4918 0.6482 0.8139
35 O 0.4918 0.8139 0.0461
36 O 0.5461 0.1482 0.3139
37 O 0.5461 0.3139 0.9918
38 O 0.5461 0.9918 0.1482
39 O 0.6482 0.0461 0.8139
40 O 0.6482 0.4918 0.0461
41 O 0.6482 0.8139 0.4918
42 O 0.7500 0.7500 0.7500
43 O 0.8139 0.0461 0.4918
44 O 0.8139 0.4918 0.6482
45 O 0.8139 0.6482 0.0461
46 O 0.9918 0.1482 0.5461
47 O 0.9918 0.3139 0.1482
48 O 0.9918 0.5461 0.3139

Computed properties:
Formation energy from raw total energies ... -49.9 kcal/mol of atoms
Total energy ... -7.324 eV per atom
V ... 444.6 Å³/cell

***

No. 3
This record from the Alexandria database describes a relaxed structure of NaTePb2Br. The functional is PBEsol.

Cell: 5.6383 5.6383 5.9944 Å, 90.00 90.00 90.00°
Element x y z (fractional)
1 Na 0.0000 0.0000 0.0000
2 Te 0.5000 0.5000 0.0000
3 Pb 0.0000 0.5000 0.5000
4 Pb 0.5000 0.0000 0.5000
5 Br 0.5000 0.5000 0.5000

Computed properties:
Formation energy from raw total energies ... 5.9 kcal/mol of atoms
Total energy ... -2.702 eV per atom
V ... 190.6 Å³/cell

***

No. 4
This record from the Alexandria database describes a relaxed structure of GaH3NF3. The functional is PBEsol.

Cell: 5.4776 5.5043 5.5043 Å, 59.42 90.00 90.00°
Element x y z (fractional)
1 Ga 0.2504 0.2500 0.7500
2 Ga 0.7496 0.7500 0.2500
3 H 0.0221 0.0181 0.5181
4 H 0.2835 0.1564 0.3485
5 H 0.2835 0.8485 0.6564
6 H 0.7165 0.3485 0.1564
7 H 0.7165 0.6564 0.8485
8 H 0.9779 0.5181 0.0181
9 N 0.2051 0.0467 0.5467
10 N 0.7949 0.5467 0.0467
11 F 0.0000 0.0225 0.0225
12 F 0.0000 0.5225 0.5225
13 F 0.2846 0.4439 0.9439
14 F 0.5000 0.4867 0.4867
15 F 0.5000 0.9867 0.9867
16 F 0.7154 0.9439 0.4439

Computed properties:
Total energy ... -5.060 eV per atom
V ... 142.9 Å³/cell

***

No. 5
This record from the Alexandria database describes a relaxed structure of TaBeTc. The functional is PBEsol.

Cell: 5.8562 5.8562 5.8562 Å, 90.00 90.00 90.00°
Element x y z (fractional)
1 Ta 0.0000 0.0000 0.0000
2 Ta 0.0000 0.5000 0.5000
3 Ta 0.5000 0.0000 0.5000
4 Ta 0.5000 0.5000 0.0000
5 Be 0.2500 0.2500 0.7500
6 Be 0.2500 0.7500 0.2500
7 Be 0.7500 0.2500 0.2500
8 Be 0.7500 0.7500 0.7500
9 Tc 0.2500 0.2500 0.2500
10 Tc 0.2500 0.7500 0.7500
11 Tc 0.7500 0.2500 0.7500
12 Tc 0.7500 0.7500 0.2500

Computed properties:
E_form ... 21.8 kcal/mol of atoms
Total energy ... -8.326 eV per atom
V ... 200.8 Å³/cell

***

No. 6
This record from the Alexandria database describes a relaxed structure of SiIrPt. The functional is PBEsol.

Cell: 5.6196 5.6196 5.6196 Å, 90.00 90.00 90.00°
Element x y z (fractional)
1 Si 0.0000 0.0000 0.0000
2 Si 0.0000 0.5000 0.5000
3 Si 0.5000 0.0000 0.5000
4 Si 0.5000 0.5000 0.0000
5 Ir 0.2500 0.2500 0.7500
6 Ir 0.2500 0.7500 0.2500
7 Ir 0.7500 0.2500 0.2500
8 Ir 0.7500 0.7500 0.7500
9 Pt 0.2500 0.2500 0.2500
10 Pt 0.2500 0.7500 0.7500
11 Pt 0.7500 0.2500 0.7500
12 Pt 0.7500 0.7500 0.2500

Computed properties:
Formation energy from raw total energies ... -15.9 kcal/mol of atoms
Total energy ... -8.199 eV per atom
V ... 177.5 Å³/cell

***

No. 7
This record from the Alexandria database describes a relaxed structure of BaAgW. The functional is PBEsol.

Cell: 2.9581 4.1106 11.8574 Å, 90.00 90.00 90.00°
Element x y z (fractional)
1 Ba 0.0000 0.0000 0.0000
2 Ba 0.5000 0.5000 0.5000
3 Ag 0.0000 0.0000 0.2939
4 Ag 0.5000 0.5000 0.7939
5 W 0.0000 0.0000 0.7114
6 W 0.5000 0.5000 0.2114

Computed properties:
E_form ... 25.1 kcal/mol of atoms
Total energy ... -5.333 eV per atom
V ... 144.2 Å³/cell

***

No. 8
This record from the Alexandria database describes a relaxed structure of Be3Fe5. The functional is PBEsol.

Cell: 6.2978 6.2978 6.2978 Å, 96.56 96.56 140.49°
Element x y z (fractional)
1 Be 0.1696 0.6696 0.8391
2 Be 0.2500 0.2500 0.0000
3 Be 0.3304 0.1696 0.5000
4 Be 0.6696 0.8304 0.5000
5 Be 0.7500 0.7500 0.0000
6 Be 0.8304 0.3304 0.1609
7 Fe 0.0731 0.2234 0.2965
8 Fe 0.2234 0.9269 0.1503
9 Fe 0.2500 0.7500 0.5000
10 Fe 0.2766 0.4269 0.7035
11 Fe 0.4269 0.7234 0.1503
12 Fe 0.5731 0.2766 0.8497
13 Fe 0.7234 0.5731 0.2965
14 Fe 0.7500 0.2500 0.5000
15 Fe 0.7766 0.0731 0.8497
16 Fe 0.9269 0.7766 0.7035

Computed properties:
E_form ... -2.9 kcal/mol of atoms
Total energy ... -7.226 eV per atom
V ... 149.6 Å³/cell

***

No. 9
This record from the Alexandria database describes a relaxed structure of YZnAg4. The functional is PBEsol.

Cell: 5.4065 5.4065 5.4065 Å, 60.00 60.00 60.00°
Element x y z (fractional)
1 Y 0.0000 0.0000 0.0000
2 Zn 0.2500 0.2500 0.2500
3 Ag 0.1265 0.6245 0.6245
4 Ag 0.6245 0.1265 0.6245
5 Ag 0.6245 0.6245 0.1265
6 Ag 0.6245 0.6245 0.6245

Computed properties:
E_form ... -3.3 kcal/mol of atoms
Total energy ... -3.750 eV per atom
V ... 111.7 Å³/cell

***

No. 10
This record from the Alexandria database describes a relaxed structure of Pm3Y. The functional is PBEsol.

Cell: 5.0288 5.0288 10.0313 Å, 90.00 90.00 90.00°
Element x y z (fractional)
1 Pm 0.0000 0.0000 0.0000
2 Pm 0.0000 0.5000 0.2500
3 Pm 0.0000 0.5000 0.7500
4 Pm 0.5000 0.0000 0.2500
5 Pm 0.5000 0.0000 0.7500
6 Pm 0.5000 0.5000 0.5000
7 Y 0.0000 0.0000 0.5000
8 Y 0.5000 0.5000 0.0000

Computed properties:
E_form ... 0.2 kcal/mol of atoms
Total energy ... -5.551 eV per atom
V ... 253.7 Å³/cell

***

No. 11
This record from the Alexandria database describes a relaxed structure of SrTcSbPt2. The functional is PBEsol.

Cell: 5.0086 5.0086 5.6431 Å, 90.00 90.00 90.00°
Element x y z (fractional)
1 Sr 0.0000 0.0000 0.0000
2 Tc 0.5000 0.5000 0.5000
3 Sb 0.0000 0.0000 0.5000
4 Pt 0.0000 0.5000 0.0000
5 Pt 0.5000 0.0000 0.0000

Computed properties:
Formation energy from raw total energies ... 49.5 kcal/mol of atoms
Total energy ... -4.173 eV per atom
V ... 141.6 Å³/cell

***

No. 12
This record from the Alexandria database describes a relaxed structure of Ta3CoO. The functional is PBEsol.

Cell: 4.1263 4.1263 4.1263 Å, 90.00 90.00 90.00°
Element x y z (fractional)
1 Ta 0.0000 0.0000 0.5000
2 Ta 0.0000 0.5000 0.0000
3 Ta 0.5000 0.0000 0.0000
4 Co 0.5000 0.5000 0.5000
5 O 0.0000 0.0000 0.0000

Computed properties:
Formation energy from raw total energies ... -10.6 kcal/mol of atoms
Total energy ... -10.589 eV per atom
V ... 70.3 Å³/cell

***

No. 13
This record from the Alexandria database describes a relaxed structure of LaNiAs2. The functional is PBEsol.

Cell: 3.3343 3.3343 6.6330 Å, 90.00 90.00 90.00°
Element x y z (fractional)
1 La 0.0000 0.0000 0.0000
2 Ni 0.0000 0.0000 0.5000
3 As 0.5000 0.5000 0.3146
4 As 0.5000 0.5000 0.6854

Computed properties:
E_form ... -8.3 kcal/mol of atoms
Total energy ... -5.787 eV per atom
V ... 73.7 Å³/cell

***

No. 14
This record from the Alexandria database describes a relaxed structure of MnCrRhPb2. The functional is PBEsol.

Cell: 5.0251 5.0251 4.4157 Å, 90.00 90.00 90.00°
Element x y z (fractional)
1 Mn 0.0000 0.0000 0.0000
2 Cr 0.5000 0.5000 0.5000
3 Rh 0.0000 0.0000 0.5000
4 Pb 0.0000 0.5000 0.0000
5 Pb 0.5000 0.0000 0.0000

Computed properties:
E_form ... 24.5 kcal/mol of atoms
Total energy ... -6.166 eV per atom
V ... 111.5 Å³/cell

***

No. 15
This record from the Alexandria database describes a relaxed structure of InTc. The functional is PBEsol.

Cell: 2.9716 2.9716 8.2147 Å, 90.00 90.00 90.00°
Element x y z (fractional)
1 In 0.2500 0.2500 0.1670
2 In 0.7500 0.7500 0.8330
3 Tc 0.2500 0.2500 0.5856
4 Tc 0.7500 0.7500 0.4144

Computed properties:
E_form ... 2.1 kcal/mol of atoms
Total energy ... -7.033 eV per atom
V ... 72.5 Å³/cell

***

No. 16
This record from the Alexandria database describes a relaxed structure of AgBi2I. The functional is PBEsol.

Cell: 4.4948 4.4948 23.7990 Å, 90.00 90.00 90.00°
Element x y z (fractional)
1 Ag 0.0000 0.0000 0.0000
2 Ag 0.0000 0.5000 0.2500
3 Ag 0.5000 0.0000 0.7500
4 Ag 0.5000 0.5000 0.5000
5 Bi 0.2188 0.2500 0.1250
6 Bi 0.2500 0.7188 0.3750
7 Bi 0.2500 0.7812 0.8750
8 Bi 0.2812 0.2500 0.6250
9 Bi 0.7188 0.7500 0.6250
10 Bi 0.7500 0.2188 0.8750
11 Bi 0.7500 0.2812 0.3750
12 Bi 0.7812 0.7500 0.1250
13 I 0.0000 0.0000 0.5000
14 I 0.0000 0.5000 0.7500
15 I 0.5000 0.0000 0.2500
16 I 0.5000 0.5000 0.0000

Computed properties:
Formation energy from raw total energies ... 4.1 kcal/mol of atoms
Total energy ... -3.237 eV per atom
V ... 480.8 Å³/cell

***

No. 17
This record from the Alexandria database describes a relaxed structure of SiH4. The functional is PBEsol.

Cell: 6.6778 4.3632 6.7257 Å, 90.00 105.40 90.00°
Element x y z (fractional)
1 Si 0.2503 0.0688 0.1468
2 Si 0.2503 0.4312 0.6468
3 Si 0.7497 0.5688 0.3532
4 Si 0.7497 0.9312 0.8532
5 H 0.0722 0.5948 0.6969
6 H 0.0722 0.9052 0.1969
7 H 0.1912 0.1035 0.5955
8 H 0.1912 0.3965 0.0955
9 H 0.3016 0.5825 0.4669
10 H 0.3016 0.9175 0.9669
11 H 0.4351 0.0528 0.3307
12 H 0.4351 0.4472 0.8307
13 H 0.5649 0.5528 0.1693
14 H 0.5649 0.9472 0.6693
15 H 0.6984 0.0825 0.0331
16 H 0.6984 0.4175 0.5331
17 H 0.8088 0.6035 0.9045
18 H 0.8088 0.8965 0.4045
19 H 0.9278 0.0948 0.8031
20 H 0.9278 0.4052 0.3031

Computed properties:
Total energy ... -3.724 eV per atom
V ... 188.9 Å³/cell

***

No. 18
This record from the Alexandria database describes a relaxed structure of LuIn. The functional is PBEsol.

Cell: 3.3209 3.3209 4.3117 Å, 90.00 90.00 90.00°
Element x y z (fractional)
1 Lu 0.0000 0.0000 0.0000
2 In 0.5000 0.5000 0.5000

Computed properties:
E_form ... -10.6 kcal/mol of atoms
Total energy ... -4.386 eV per atom
V ... 47.5 Å³/cell

***

No. 19
This record from the Alexandria database describes a relaxed structure of SrAsWBr2. The functional is PBEsol.

Cell: 5.1690 5.1690 4.8852 Å, 90.00 90.00 90.00°
Element x y z (fractional)
1 Sr 0.0000 0.0000 0.0000
2 As 0.5000 0.5000 0.0000
3 W 0.5000 0.5000 0.5000
4 Br 0.0000 0.5000 0.5000
5 Br 0.5000 0.0000 0.5000

Computed properties:
Formation energy from raw total energies ... -4.9 kcal/mol of atoms
Total energy ... -5.113 eV per atom
V ... 130.5 Å³/cell

***

No. 20
This record from the Alexandria database describes a relaxed structure of LiHSO4. The functional is PBEsol.

Cell: 5.2290 7.1815 8.5054 Å, 90.00 91.14 90.00°
Element x y z (fractional)
1 Li 0.0018 0.1980 0.0046
2 Li 0.0018 0.3020 0.5046
3 Li 0.9982 0.6980 0.4954
4 Li 0.9982 0.8020 0.9954
5 H 0.3684 0.6328 0.2778
6 H 0.3684 0.8672 0.7778
7 H 0.6316 0.1328 0.2222
8 H 0.6316 0.3672 0.7222
9 S 0.2817 0.5133 0.7854
10 S 0.2817 0.9867 0.2854
11 S 0.7183 0.0133 0.7146
12 S 0.7183 0.4867 0.2146
13 O 0.1679 0.5042 0.6257
14 O 0.1679 0.9958 0.1257
15 O 0.1851 0.1303 0.3871
16 O 0.1851 0.3697 0.8871
17 O 0.2530 0.7018 0.8533
18 O 0.2530 0.7982 0.3533
19 O 0.4255 0.5066 0.2284
20 O 0.4255 0.9934 0.7284
21 O 0.5745 0.0066 0.2716
22 O 0.5745 0.4934 0.7716
23 O 0.7470 0.2018 0.6467
24 O 0.7470 0.2982 0.1467
25 O 0.8149 0.6303 0.1129
26 O 0.8149 0.8697 0.6129
27 O 0.8321 0.0042 0.8743
28 O 0.8321 0.4958 0.3743

Computed properties:
Total energy ... -5.959 eV per atom
V ... 319.3 Å³/cell

***

No. 21
This record from the Alexandria database describes a relaxed structure of Rb2Mo9S11. The functional is PBEsol.

Cell: 13.0500 13.0500 13.0500 Å, 41.62 41.62 41.62°
Element x y z (fractional)
1 Rb 0.0510 0.0510 0.0510
2 Rb 0.4490 0.4490 0.4490
3 Rb 0.5510 0.5510 0.5510
4 Rb 0.9490 0.9490 0.9490
5 Mo 0.0272 0.3565 0.1770
6 Mo 0.0820 0.2500 0.4180
7 Mo 0.1435 0.4728 0.3230
8 Mo 0.1770 0.0272 0.3565
9 Mo 0.2500 0.4180 0.0820
10 Mo 0.3230 0.1435 0.4728
11 Mo 0.3565 0.1770 0.0272
12 Mo 0.4180 0.0820 0.2500
13 Mo 0.4728 0.3230 0.1435
14 Mo 0.5272 0.6770 0.8565
15 Mo 0.5820 0.9180 0.7500
16 Mo 0.6435 0.8230 0.9728
17 Mo 0.6770 0.8565 0.5272
18 Mo 0.7500 0.5820 0.9180
19 Mo 0.8230 0.9728 0.6435
20 Mo 0.8565 0.5272 0.6770
21 Mo 0.9180 0.7500 0.5820
22 Mo 0.9728 0.6435 0.8230
23 S 0.0159 0.2878 0.6201
24 S 0.0542 0.4458 0.7500
25 S 0.1201 0.7878 0.5159
26 S 0.1360 0.1360 0.1360
27 S 0.2122 0.4841 0.8799
28 S 0.2500 0.9458 0.5542
29 S 0.2878 0.6201 0.0159
30 S 0.3640 0.3640 0.3640
31 S 0.3799 0.9841 0.7122
32 S 0.4458 0.7500 0.0542
33 S 0.4841 0.8799 0.2122
34 S 0.5159 0.1201 0.7878
35 S 0.5542 0.2500 0.9458
36 S 0.6201 0.0159 0.2878
37 S 0.6360 0.6360 0.6360
38 S 0.7122 0.3799 0.9841
39 S 0.7500 0.0542 0.4458
40 S 0.7878 0.5159 0.1201
41 S 0.8640 0.8640 0.8640
42 S 0.8799 0.2122 0.4841
43 S 0.9458 0.5542 0.2500
44 S 0.9841 0.7122 0.3799

Computed properties:
Formation energy from raw total energies ... -19.7 kcal/mol of atoms
Total energy ... -7.952 eV per atom
V ... 886.0 Å³/cell